Entry 1:
6
Lattice="2.686 0.000 0.000 -1.343 2.326 0.000 0.000 0.000 12.629" Properties=species:S:1:pos:R:3 comment="LiMnPd | Alexandria via LeMat-Bulk | GGA-PBE | relaxed" magnetic_moment_mub_per_cell=0.00 spacegroup="P3m1 (156)" formation_enthalpy_0k_ev_per_atom=-0.051 de_polymorph_mev_per_atom=64 pbc="T T T"
Li 0.000 0.000 0.000
Li 0.000 0.000 4.294
Mn 0.000 1.551 8.654
Mn 1.343 0.775 10.344
Pd 1.343 0.775 2.136
Pd 1.343 0.775 6.435

Entry 2:
12
Lattice="4.685 0.000 0.000 0.000 8.494 0.000 -1.327 0.000 4.486" Properties=species:S:1:pos:R:3 comment="LiMnPd4 | Alexandria via LeMat-Bulk | GGA-PBE | relaxed" magnetic_moment_mub_per_cell=9.52 spacegroup="C2/m (12)" formation_enthalpy_0k_ev_per_atom=-0.242 de_polymorph_mev_per_atom=13 pbc="T T T"
Li 0.000 0.000 0.000
Li 2.343 4.247 0.000
Mn -0.664 4.247 2.243
Mn 1.679 0.000 2.243
Pd -0.664 1.374 2.243
Pd 0.000 2.877 0.000
Pd 0.000 5.617 0.000
Pd -0.664 7.120 2.243
Pd 2.343 1.370 0.000
Pd 1.679 2.873 2.243
Pd 1.679 5.621 2.243
Pd 2.343 7.124 0.000

Entry 3:
12
Lattice="3.924 0.000 0.000 0.000 3.924 0.000 0.000 0.000 11.690" Properties=species:S:1:pos:R:3 comment="LiMn2Pd9 | Alexandria via LeMat-Bulk | GGA-PBE | relaxed" magnetic_moment_mub_per_cell=9.24 spacegroup="P4/mmm (123)" formation_enthalpy_0k_ev_per_atom=-0.233 pbc="T T T"
Li 0.000 0.000 0.000
Mn 0.000 0.000 3.882
Mn 0.000 0.000 7.807
Pd 0.000 1.962 1.937
Pd 0.000 1.962 5.845
Pd 0.000 1.962 9.753
Pd 1.962 0.000 1.937
Pd 1.962 0.000 5.845
Pd 1.962 0.000 9.753
Pd 1.962 1.962 0.000
Pd 1.962 1.962 3.882
Pd 1.962 1.962 7.808

Entry 4:
12
Lattice="10.108 0.000 0.000 0.000 2.899 0.000 -1.159 0.000 5.466" Properties=species:S:1:pos:R:3 comment="LiMnPd | Alexandria via LeMat-Bulk | GGA-PBE | relaxed" magnetic_moment_mub_per_cell=0.00 spacegroup="Cm (8)" formation_enthalpy_0k_ev_per_atom=-0.014 de_polymorph_mev_per_atom=102 pbc="T T T"
Li 0.000 0.000 0.000
Li 1.240 1.450 1.779
Li 5.054 1.450 0.000
Li 6.294 0.000 1.779
Mn 2.666 0.000 3.625
Mn 3.863 1.450 2.761
Mn 7.719 1.450 3.625
Mn 8.917 0.000 2.761
Pd 0.495 1.450 4.185
Pd 3.112 0.000 0.728
Pd 5.549 0.000 4.185
Pd 8.165 1.450 0.728

Entry 5:
12
Lattice="5.664 0.000 0.000 0.000 5.664 0.000 0.000 0.000 5.664" Properties=species:S:1:pos:R:3 comment="LiMnPd | Alexandria via LeMat-Bulk | GGA-PBE | relaxed" magnetic_moment_mub_per_cell=0.00 spacegroup="F-43m (216)" formation_enthalpy_0k_ev_per_atom=0.625 de_polymorph_mev_per_atom=740 pbc="T T T"
Li 0.000 0.000 0.000
Li 0.000 2.832 2.832
Li 2.832 0.000 2.832
Li 2.832 2.832 0.000
Mn 0.000 0.000 2.832
Mn 0.000 2.832 0.000
Mn 2.832 0.000 0.000
Mn 2.832 2.832 2.832
Pd 1.416 1.416 4.248
Pd 1.416 4.248 1.416
Pd 4.248 1.416 1.416
Pd 4.248 4.248 4.248

Entry 6:
6
Lattice="3.354 0.000 0.000 0.000 3.354 0.000 0.000 0.000 6.707" Properties=species:S:1:pos:R:3 comment="LiMnPd | Alexandria via LeMat-Bulk | GGA-PBE | relaxed" magnetic_moment_mub_per_cell=0.00 spacegroup="P4/nmm (129)" formation_enthalpy_0k_ev_per_atom=0.128 de_polymorph_mev_per_atom=243 pbc="T T T"
Li 0.839 0.839 1.235
Li 2.516 2.516 5.472
Mn 0.839 2.516 3.354
Mn 2.516 0.839 3.354
Pd 0.839 0.839 5.460
Pd 2.516 2.516 1.247

Entry 7:
9
Lattice="2.473 -6.726 0.000 2.473 6.726 0.000 -1.971 0.000 4.026" Properties=species:S:1:pos:R:3 comment="Li2MnPd6 | Alexandria via LeMat-Bulk | GGA-PBE | relaxed" magnetic_moment_mub_per_cell=4.97 spacegroup="C2/m (12)" formation_enthalpy_0k_ev_per_atom=-0.222 de_polymorph_mev_per_atom=0 pbc="T T T"
Li 2.473 4.445 0.000
Li 2.473 -4.445 0.000
Mn -0.985 0.000 2.013
Pd 0.260 2.183 2.671
Pd 1.239 0.000 0.627
Pd 0.260 -2.183 2.671
Pd 2.714 2.183 1.355
Pd 1.735 0.000 3.399
Pd 2.714 -2.183 1.355

Entry 8:
16
Lattice="4.279 0.000 0.000 0.000 4.279 0.000 0.000 0.000 12.104" Properties=species:S:1:pos:R:3 comment="Li3MnPd4 | Alexandria via LeMat-Bulk | GGA-PBE | relaxed" magnetic_moment_mub_per_cell=9.30 spacegroup="I4/mmm (139)" formation_enthalpy_0k_ev_per_atom=-0.405 pbc="T T T"
Li 0.000 0.000 0.000
Li 0.000 0.000 3.008
Li 0.000 0.000 9.096
Li 2.140 2.140 3.044
Li 2.140 2.140 6.052
Li 2.140 2.140 9.060
Mn 0.000 0.000 6.052
Mn 2.140 2.140 0.000
Pd 0.000 2.140 1.537
Pd 0.000 2.140 4.515
Pd 0.000 2.140 7.589
Pd 0.000 2.140 10.567
Pd 2.140 0.000 1.537
Pd 2.140 0.000 4.515
Pd 2.140 0.000 7.589
Pd 2.140 0.000 10.567

Entry 9:
9
Lattice="6.403 -2.882 0.000 6.403 2.882 0.000 -1.288 0.000 3.874" Properties=species:S:1:pos:R:3 comment="Li2MnPd6 | Alexandria via LeMat-Bulk | GGA-PBE | relaxed" magnetic_moment_mub_per_cell=4.24 spacegroup="C2/m (12)" formation_enthalpy_0k_ev_per_atom=0.026 de_polymorph_mev_per_atom=248 pbc="T T T"
Li 1.941 0.000 0.655
Li 9.578 0.000 3.219
Mn 5.759 0.000 1.937
Pd 3.819 1.468 1.283
Pd 6.403 1.485 0.000
Pd 7.699 1.468 2.591
Pd 3.819 -1.468 1.283
Pd 6.403 -1.485 0.000
Pd 7.699 -1.468 2.591

Entry 10:
3
Lattice="4.253 0.000 0.000 -2.127 3.684 0.000 0.000 0.000 2.767" Properties=species:S:1:pos:R:3 comment="LiMnPd | Alexandria via LeMat-Bulk | GGA-PBE | relaxed" magnetic_moment_mub_per_cell=4.23 spacegroup="P3m1 (156)" formation_enthalpy_0k_ev_per_atom=-0.115 de_polymorph_mev_per_atom=0 pbc="T T T"
Li 0.000 0.000 0.000
Mn 0.000 2.456 1.885
Pd 2.127 1.228 0.808

Entry 11:
12
Lattice="3.091 0.000 0.000 0.000 4.314 0.000 0.000 0.000 11.662" Properties=species:S:1:pos:R:3 comment="LiMnPd | Alexandria via LeMat-Bulk | GGA-PBE | relaxed" magnetic_moment_mub_per_cell=0.00 spacegroup="Amm2 (38)" formation_enthalpy_0k_ev_per_atom=0.007 de_polymorph_mev_per_atom=122 pbc="T T T"
Li 0.000 0.000 0.000
Li 0.000 0.000 3.928
Li 0.000 2.157 5.831
Li 0.000 2.157 9.759
Mn 0.000 0.000 7.505
Mn 0.000 2.157 1.674
Mn 1.546 0.000 6.132
Mn 1.546 2.157 0.301
Pd 1.546 0.000 1.946
Pd 1.546 0.000 9.723
Pd 1.546 2.157 3.892
Pd 1.546 2.157 7.777

Entry 12:
6
Lattice="4.455 0.000 0.000 -2.228 3.858 0.000 0.000 0.000 9.588" Properties=species:S:1:pos:R:3 comment="LiMnPd | Alexandria via LeMat-Bulk | GGA-PBE | relaxed" magnetic_moment_mub_per_cell=9.37 spacegroup="P6_3/mmc (194)" formation_enthalpy_0k_ev_per_atom=1.111 de_polymorph_mev_per_atom=1226 pbc="T T T"
Li 0.000 2.572 2.397
Li 2.228 1.286 7.191
Mn 0.000 0.000 2.397
Mn 0.000 0.000 7.191
Pd 0.000 0.000 0.000
Pd 0.000 0.000 4.794

Entry 13:
20
Lattice="7.660 0.000 0.000 0.000 4.211 0.000 -1.950 0.000 8.801" Properties=species:S:1:pos:R:3 comment="Li3MnPd6 | Alexandria via LeMat-Bulk | GGA-PBE | relaxed" magnetic_moment_mub_per_cell=9.26 spacegroup="P2_1/m (11)" formation_enthalpy_0k_ev_per_atom=-0.326 de_polymorph_mev_per_atom=0 pbc="T T T"
Li -0.439 1.053 3.499
Li 0.750 3.159 1.648
Li 0.034 1.053 8.619
Li 5.675 3.159 0.182
Li 4.960 1.053 7.153
Li 6.148 3.159 5.302
Mn 2.201 1.053 5.341
Mn 3.509 3.159 3.460
Pd -1.440 3.159 7.895
Pd -0.361 1.053 6.049
Pd 0.915 3.159 4.245
Pd 1.989 1.053 2.595
Pd 1.124 3.159 6.941
Pd 3.131 3.159 0.843
Pd 2.579 1.053 7.958
Pd 4.585 1.053 1.860
Pd 3.720 3.159 6.206
Pd 4.795 1.053 4.556
Pd 6.070 3.159 2.752
Pd 7.150 1.053 0.906

Entry 14:
10
Lattice="7.402 0.000 0.000 0.000 7.402 0.000 0.000 0.000 2.642" Properties=species:S:1:pos:R:3 comment="LiMn2Pd2 | Alexandria via LeMat-Bulk | GGA-PBE | relaxed" magnetic_moment_mub_per_cell=1.71 spacegroup="P4/mbm (127)" formation_enthalpy_0k_ev_per_atom=0.141 de_polymorph_mev_per_atom=0 pbc="T T T"
Li 0.000 0.000 0.000
Li 3.701 3.701 0.000
Mn 0.688 3.013 0.000
Mn 3.013 6.714 0.000
Mn 4.389 0.688 0.000
Mn 6.714 4.389 0.000
Pd 1.465 5.166 1.321
Pd 2.237 1.465 1.321
Pd 5.166 5.938 1.321
Pd 5.938 2.237 1.321

Entry 15:
16
Lattice="6.998 0.000 0.000 0.000 6.998 0.000 0.000 0.000 5.256" Properties=species:S:1:pos:R:3 comment="LiMn2Pd | Alexandria via LeMat-Bulk | GGA-PBE | relaxed" magnetic_moment_mub_per_cell=32.86 spacegroup="I-42d (122)" formation_enthalpy_0k_ev_per_atom=0.387 pbc="T T T"
Li 0.000 0.000 0.000
Li 0.000 3.499 1.314
Li 3.499 0.000 3.942
Li 3.499 3.499 2.628
Mn 1.727 1.749 3.285
Mn 1.749 5.225 4.599
Mn 1.749 5.271 1.971
Mn 1.772 1.749 0.657
Mn 5.225 5.248 0.657
Mn 5.248 1.727 1.971
Mn 5.248 1.772 4.599
Mn 5.271 5.248 3.285
Pd 0.000 0.000 2.628
Pd 0.000 3.499 3.942
Pd 3.499 0.000 1.314
Pd 3.499 3.499 0.000

Entry 16:
6
Lattice="2.643 0.000 0.000 1.224 4.321 0.000 1.284 0.274 7.000" Properties=species:S:1:pos:R:3 comment="LiMnPd | Alexandria via LeMat-Bulk | GGA-PBE | relaxed" magnetic_moment_mub_per_cell=1.84 spacegroup="P1 (1)" formation_enthalpy_0k_ev_per_atom=0.106 de_polymorph_mev_per_atom=221 pbc="T T T"
Li 0.000 0.000 0.000
Li 1.299 1.945 3.568
Mn 3.855 4.247 4.551
Mn 3.854 4.247 2.609
Pd 2.565 2.286 5.770
Pd 2.561 2.292 1.359

Entry 17:
19
Lattice="6.958 -4.444 0.000 6.958 4.444 0.000 -1.222 0.000 4.623" Properties=species:S:1:pos:R:3 comment="Li5Mn2Pd12 | Alexandria via LeMat-Bulk | GGA-PBE | relaxed" magnetic_moment_mub_per_cell=9.15 spacegroup="C2/m (12)" formation_enthalpy_0k_ev_per_atom=-0.269 pbc="T T T"
Li 0.000 0.000 0.000
Li 2.878 0.000 0.201
Li 3.837 0.000 2.942
Li 8.857 0.000 1.682
Li 9.815 0.000 4.423
Mn 6.347 2.235 2.312
Mn 6.347 -2.235 2.312
Pd 3.830 2.127 1.356
Pd 0.857 0.000 2.320
Pd 4.493 2.266 4.072
Pd 8.201 2.266 0.551
Pd 5.841 0.000 0.990
Pd 8.864 2.127 3.268
Pd 3.830 -2.127 1.356
Pd 6.853 0.000 3.634
Pd 4.493 -2.266 4.072
Pd 8.201 -2.266 0.551
Pd 11.837 0.000 2.303
Pd 8.864 -2.127 3.268

Entry 18:
10
Lattice="4.183 -7.464 0.000 4.183 7.464 0.000 0.000 0.000 2.735" Properties=species:S:1:pos:R:3 comment="Li2MnPd7 | Alexandria via LeMat-Bulk | GGA-PBE | relaxed" magnetic_moment_mub_per_cell=4.95 spacegroup="Cmmm (65)" formation_enthalpy_0k_ev_per_atom=0.052 pbc="T T T"
Li 4.183 4.927 0.000
Li 4.183 -4.927 0.000
Mn 4.183 0.000 1.367
Pd 0.000 0.000 0.000
Pd 2.303 1.395 0.000
Pd 4.183 2.779 1.367
Pd 2.303 -1.395 0.000
Pd 6.063 1.395 0.000
Pd 4.183 -2.779 1.367
Pd 6.063 -1.395 0.000

Entry 19:
18
Lattice="6.328 -4.563 0.000 6.328 4.563 0.000 -0.610 0.000 4.723" Properties=species:S:1:pos:R:3 comment="LiMn2Pd6 | Alexandria via LeMat-Bulk | GGA-PBE | relaxed" magnetic_moment_mub_per_cell=18.67 spacegroup="C2/c (15)" formation_enthalpy_0k_ev_per_atom=-0.191 de_polymorph_mev_per_atom=0 pbc="T T T"
Li 5.870 3.429 3.542
Li 6.175 -3.429 1.181
Mn 3.634 1.126 4.357
Mn 3.939 -1.126 1.996
Mn 8.106 1.126 2.727
Mn 8.411 -1.126 0.366
Pd 4.854 3.399 0.828
Pd 2.565 1.137 1.712
Pd 7.496 3.399 1.534
Pd 5.302 1.157 2.274
Pd 2.260 -1.137 4.074
Pd 7.048 1.157 0.087
Pd 4.997 -1.157 4.636
Pd 9.785 1.137 0.649
Pd 6.743 -1.157 2.449
Pd 4.549 -3.399 3.189
Pd 9.480 -1.137 3.010
Pd 7.191 -3.399 3.895

Entry 20:
12
Lattice="3.908 0.000 0.000 0.000 3.908 0.000 0.000 0.000 11.658" Properties=species:S:1:pos:R:3 comment="Li2MnPd9 | Alexandria via LeMat-Bulk | GGA-PBE | relaxed" magnetic_moment_mub_per_cell=4.73 spacegroup="P4/mmm (123)" formation_enthalpy_0k_ev_per_atom=-0.245 pbc="T T T"
Li 0.000 0.000 1.915
Li 0.000 0.000 9.743
Mn 0.000 0.000 5.829
Pd 0.000 1.954 0.000
Pd 0.000 1.954 3.873
Pd 0.000 1.954 7.784
Pd 1.954 0.000 0.000
Pd 1.954 0.000 3.873
Pd 1.954 0.000 7.784
Pd 1.954 1.954 1.933
Pd 1.954 1.954 5.829
Pd 1.954 1.954 9.725